Arrangement w

This record from Alexandria describes crystalline ReHSe2Br at its relaxed geometry. The functional is PBE.

Computed properties:
Density of states at the Fermi level: 5.67 states/eV per cell

Cell: 4.7827 4.7827 5.4811 Å, 90.00 90.00 90.00°
Last column: nearest neighbours and their distance in Å.
Sites, in units of the cell vectors:
1 Re 0.0000 0.0000 0.0000  4 Se 2.39
2 H 0.5000 0.5000 0.5000  4 Br 3.38, 8 Se 3.64
3 Se 0.0000 0.5000 0.0000  2 Re 2.39
4 Se 0.5000 0.0000 0.0000  2 Re 2.39
5 Br 0.0000 0.0000 0.5000  2 Re 2.74

Arrangement x

This record from Alexandria describes crystalline ReHSe2Br at its relaxed geometry. The functional is PBE.

Computed properties:
Density of states at the Fermi level: 4.18 states/eV per cell

Cell: 4.0252 4.0252 4.8369 Å, 90.00 90.00 90.00°
Last column: nearest neighbours and their distance in Å.
Sites, in units of the cell vectors:
1 Re 0.0000 0.0000 0.0000  4 Br 2.85, 8 Se 3.15
2 H 0.5000 0.5000 0.5000  4 Se 2.01
3 Se 0.0000 0.5000 0.5000  2 H 2.01
4 Se 0.5000 0.0000 0.5000  2 H 2.01
5 Br 0.5000 0.5000 0.0000  2 H 2.42

Quick one: most stable of them? arrangement w

Arrangement w

This record from Alexandria describes crystalline ReHSeBr2 at its relaxed geometry. The functional is PBE.

Computed properties:
Density of states at the Fermi level: 3.92 states/eV per cell

Cell: 4.9878 4.9878 3.3752 Å, 90.00 90.00 90.00°
Last column: nearest neighbours and their distance in Å.
Sites, in units of the cell vectors:
1 Re 0.0000 0.0000 0.0000  8 Br 3.01
2 H 0.5000 0.5000 0.5000  2 Se 1.69
3 Se 0.5000 0.5000 0.0000  2 H 1.69
4 Br 0.0000 0.5000 0.5000  2 H 2.49
5 Br 0.5000 0.0000 0.5000  2 H 2.49

Arrangement x

This record from Alexandria describes crystalline ReHSeBr2 at its relaxed geometry. The functional is PBE.

Computed properties:
Density of states at the Fermi level: 3.61 states/eV per cell

Cell: 5.2548 5.2548 4.7275 Å, 90.00 90.00 90.00°
Last column: nearest neighbours and their distance in Å.
Sites, in units of the cell vectors:
1 Re 0.0000 0.0000 0.0000  2 Se 2.36, 4 Br 2.63
2 H 0.5000 0.5000 0.5000  8 Br 3.53, 4 Se 3.72
3 Se 0.0000 0.0000 0.5000  2 Re 2.36
4 Br 0.0000 0.5000 0.0000  2 Re 2.63
5 Br 0.5000 0.0000 0.0000  2 Re 2.63

Quick one: most stable of them? arrangement x

Arrangement w

This record from Alexandria describes crystalline H3RhBr at its relaxed geometry. The functional is PBE.

Computed properties:
Density of states at the Fermi level: 3.70 states/eV per cell

Cell: 3.6748 3.6748 3.6748 Å, 90.00 90.00 90.00°
Last column: nearest neighbours and their distance in Å.
Sites, in units of the cell vectors:
1 H 0.0000 0.0000 0.5000  2 Rh 1.84
2 H 0.0000 0.5000 0.0000  2 Rh 1.84
3 H 0.5000 0.0000 0.0000  2 Rh 1.84
4 Rh 0.0000 0.0000 0.0000  6 H 1.84
5 Br 0.5000 0.5000 0.5000  12 H 2.60

Arrangement x

This record from Alexandria describes crystalline H3RhBr at its relaxed geometry. The functional is PBE.

Computed properties:
Density of states at the Fermi level: 2.32 states/eV per cell

Cell: 3.7227 3.7227 3.7227 Å, 90.00 90.00 90.00°
Last column: nearest neighbours and their distance in Å.
Sites, in units of the cell vectors:
1 H 0.0000 0.0000 0.5000  2 Br 1.86
2 H 0.0000 0.5000 0.0000  2 Br 1.86
3 H 0.5000 0.0000 0.0000  2 Br 1.86
4 Rh 0.5000 0.5000 0.5000  12 H 2.63
5 Br 0.0000 0.0000 0.0000  6 H 1.86

Quick one: most stable of them? arrangement w

Arrangement w

This record from Alexandria describes crystalline HRhBr2 at its relaxed geometry. The functional is PBE.

Computed properties:
Density of states at the Fermi level: 8.78 states/eV per cell

Cell: 5.4680 5.4680 10.1903 Å, 90.00 90.00 90.00°
Last column: nearest neighbours and their distance in Å.
Sites, in units of the cell vectors:
1 H 0.0000 0.0000 0.0000  4 Br 2.18
2 H 0.0000 0.5000 0.2500  4 Br 2.18
3 H 0.5000 0.0000 0.7500  4 Br 2.18
4 H 0.5000 0.5000 0.5000  4 Br 2.18
5 Rh 0.0000 0.0000 0.5000  4 Br 2.47
6 Rh 0.0000 0.5000 0.7500  4 Br 2.47
7 Rh 0.5000 0.0000 0.2500  4 Br 2.47
8 Rh 0.5000 0.5000 0.0000  4 Br 2.47
9 Br 0.2036 0.2500 0.1250  2 H 2.18
10 Br 0.2500 0.7036 0.3750  2 H 2.18
11 Br 0.2500 0.7964 0.8750  2 H 2.18
12 Br 0.2964 0.2500 0.6250  2 H 2.18
13 Br 0.7036 0.7500 0.6250  2 H 2.18
14 Br 0.7500 0.2036 0.8750  2 H 2.18
15 Br 0.7500 0.2964 0.3750  2 H 2.18
16 Br 0.7964 0.7500 0.1250  2 H 2.18

Arrangement x

This record from Alexandria describes crystalline HRhBr2 at its relaxed geometry. The functional is PBE.

Computed properties:
Density of states at the Fermi level: 0.00 states/eV per cell

Cell: 4.1103 4.1103 18.4466 Å, 90.00 90.00 120.00°
Last column: nearest neighbours and their distance in Å.
Sites, in units of the cell vectors:
1 H 0.0000 0.0000 0.0000  2 Br 1.73
2 H 0.3333 0.6667 0.6667  2 Br 1.73
3 H 0.6667 0.3333 0.3333  2 Br 1.73
4 Rh 0.0000 0.0000 0.5000  6 Br 2.73
5 Rh 0.3333 0.6667 0.1667  6 Br 2.73
6 Rh 0.6667 0.3333 0.8333  6 Br 2.73
7 Br 0.0000 0.0000 0.0936  1 H 1.73
8 Br 0.0000 0.0000 0.9064  1 H 1.73
9 Br 0.3333 0.6667 0.5731  1 H 1.73
10 Br 0.3333 0.6667 0.7603  1 H 1.73
11 Br 0.6667 0.3333 0.2397  1 H 1.73
12 Br 0.6667 0.3333 0.4269  1 H 1.73

Quick one: most stable of them? arrangement x

Arrangement w

This record from Alexandria describes crystalline HRhSeBr2 at its relaxed geometry. The functional is PBE.

Computed properties:
Density of states at the Fermi level: 3.63 states/eV per cell

Cell: 5.2966 5.2966 4.6242 Å, 90.00 90.00 90.00°
Last column: nearest neighbours and their distance in Å.
Sites, in units of the cell vectors:
1 H 0.0000 0.0000 0.0000  8 Br 3.52, 4 Se 3.75
2 Rh 0.5000 0.5000 0.5000  2 Se 2.31
3 Se 0.5000 0.5000 0.0000  2 Rh 2.31
4 Br 0.0000 0.5000 0.5000  2 Rh 2.65
5 Br 0.5000 0.0000 0.5000  2 Rh 2.65

Arrangement x

This record from Alexandria describes crystalline HRhSeBr2 at its relaxed geometry. The functional is PBE.

Computed properties:
Density of states at the Fermi level: 5.29 states/eV per cell

Cell: 5.1937 5.1937 3.4500 Å, 90.00 90.00 90.00°
Last column: nearest neighbours and their distance in Å.
Sites, in units of the cell vectors:
1 H 0.0000 0.0000 0.0000  2 Se 1.73
2 Rh 0.5000 0.5000 0.5000  8 Br 3.12, 2 Rh 3.45
3 Se 0.0000 0.0000 0.5000  2 H 1.73
4 Br 0.0000 0.5000 0.0000  2 H 2.60
5 Br 0.5000 0.0000 0.0000  2 H 2.60

Quick one: most stable of them? arrangement w

Arrangement w

This record from Alexandria describes crystalline HRuBr2 at its relaxed geometry. The functional is PBE.

Computed properties:
Density of states at the Fermi level: 9.42 states/eV per cell

Cell: 5.3907 5.3907 10.2509 Å, 90.00 90.00 90.00°
Last column: nearest neighbours and their distance in Å.
Sites, in units of the cell vectors:
1 H 0.0000 0.0000 0.0000  4 Br 2.17
2 H 0.0000 0.5000 0.2500  4 Br 2.17
3 H 0.5000 0.0000 0.7500  4 Br 2.17
4 H 0.5000 0.5000 0.5000  4 Br 2.17
5 Ru 0.0000 0.0000 0.5000  4 Br 2.43
6 Ru 0.0000 0.5000 0.7500  4 Br 2.43
7 Ru 0.5000 0.0000 0.2500  4 Br 2.43
8 Ru 0.5000 0.5000 0.0000  4 Br 2.43
9 Br 0.2090 0.2500 0.1250  2 H 2.17, 2 Ru 2.43
10 Br 0.2500 0.7090 0.3750  2 H 2.17, 2 Ru 2.43
11 Br 0.2500 0.7910 0.8750  2 H 2.17, 2 Ru 2.43
12 Br 0.2910 0.2500 0.6250  2 H 2.17, 2 Ru 2.43
13 Br 0.7090 0.7500 0.6250  2 H 2.17, 2 Ru 2.43
14 Br 0.7500 0.2090 0.8750  2 H 2.17, 2 Ru 2.43
15 Br 0.7500 0.2910 0.3750  2 H 2.17, 2 Ru 2.43
16 Br 0.7910 0.7500 0.1250  2 H 2.17, 2 Ru 2.43

Arrangement x

This record from Alexandria describes crystalline HRuBr2 at its relaxed geometry. The functional is PBE.

Computed properties:
Density of states at the Fermi level: 8.50 states/eV per cell

Cell: 3.9947 3.9947 18.0885 Å, 90.00 90.00 120.00°
Last column: nearest neighbours and their distance in Å.
Sites, in units of the cell vectors:
1 H 0.0000 0.0000 0.0000  2 Br 1.77
2 H 0.3333 0.6667 0.6667  2 Br 1.77
3 H 0.6667 0.3333 0.3333  2 Br 1.77
4 Ru 0.0000 0.0000 0.5000  6 Br 2.62
5 Ru 0.3333 0.6667 0.1667  6 Br 2.62
6 Ru 0.6667 0.3333 0.8333  6 Br 2.62
7 Br 0.0000 0.0000 0.0976  1 H 1.77
8 Br 0.0000 0.0000 0.9024  1 H 1.77
9 Br 0.3333 0.6667 0.5691  1 H 1.77
10 Br 0.3333 0.6667 0.7643  1 H 1.77
11 Br 0.6667 0.3333 0.2357  1 H 1.77
12 Br 0.6667 0.3333 0.4309  1 H 1.77

Arrangement y

This record from Alexandria describes crystalline HRuBr2 at its relaxed geometry. The functional is PBE.

Computed properties:
Density of states at the Fermi level: 12.12 states/eV per cell

Cell: 3.2116 3.2116 22.6549 Å, 90.00 90.00 120.00°
Last column: nearest neighbours and their distance in Å.
Sites, in units of the cell vectors:
1 H 0.0000 0.0000 0.0000  6 Br 2.34
2 H 0.3333 0.6667 0.6667  6 Br 2.34
3 H 0.6667 0.3333 0.3333  6 Br 2.34
4 Ru 0.0000 0.0000 0.5000  2 Br 2.35
5 Ru 0.3333 0.6667 0.1667  2 Br 2.35
6 Ru 0.6667 0.3333 0.8333  2 Br 2.35
7 Br 0.0000 0.0000 0.3962  3 H 2.34, 1 Ru 2.35
8 Br 0.0000 0.0000 0.6038  3 H 2.34, 1 Ru 2.35
9 Br 0.3333 0.6667 0.0629  3 H 2.34, 1 Ru 2.35
10 Br 0.3333 0.6667 0.2705  3 H 2.34, 1 Ru 2.35
11 Br 0.6667 0.3333 0.7295  3 H 2.34, 1 Ru 2.35
12 Br 0.6667 0.3333 0.9371  3 H 2.34, 1 Ru 2.35

Arrangement z

This record from Alexandria describes crystalline HRuBr2 at its relaxed geometry. The functional is PBE.

Computed properties:
Density of states at the Fermi level: 10.27 states/eV per cell

Cell: 6.3268 6.3268 6.3268 Å, 90.00 90.00 90.00°
Last column: nearest neighbours and their distance in Å.
Sites, in units of the cell vectors:
1 H 0.0000 0.0000 0.0000  8 Br 2.74
2 H 0.0000 0.5000 0.5000  8 Br 2.74
3 H 0.5000 0.0000 0.5000  8 Br 2.74
4 H 0.5000 0.5000 0.0000  8 Br 2.74
5 Ru 0.0000 0.0000 0.5000  8 Br 2.74
6 Ru 0.0000 0.5000 0.0000  8 Br 2.74
7 Ru 0.5000 0.0000 0.0000  8 Br 2.74
8 Ru 0.5000 0.5000 0.5000  8 Br 2.74
9 Br 0.2500 0.2500 0.2500  4 H 2.74, 4 Ru 2.74
10 Br 0.2500 0.2500 0.7500  4 Ru 2.74, 4 H 2.74
11 Br 0.2500 0.7500 0.2500  4 Ru 2.74, 4 H 2.74
12 Br 0.2500 0.7500 0.7500  4 H 2.74, 4 Ru 2.74
13 Br 0.7500 0.2500 0.2500  4 Ru 2.74, 4 H 2.74
14 Br 0.7500 0.2500 0.7500  4 H 2.74, 4 Ru 2.74
15 Br 0.7500 0.7500 0.2500  4 H 2.74, 4 Ru 2.74
16 Br 0.7500 0.7500 0.7500  4 Ru 2.74, 4 H 2.74

Quick one: most stable of them? arrangement x